Computed, not measured: a relaxed structure of Tb4Pr7Tm at the PBE level of DFT.

## Properties
Total magnetization in μB per cell: 0.000
Offset from the most stable computed form in eV per atom: 0.0000

CIF file:
```
data_Tb4Pr7Tm
_chemical_formula_sum 'Tb4 Pr7 Tm1'
_space_group_name_H-M_alt 'P 1'
_space_group_IT_number 1
_space_group_name_Hall 'P 1'
_cell_length_a 6.375
_cell_length_b 7.338
_cell_length_c 9.076
_cell_angle_alpha 90.06
_cell_angle_beta 103.56
_cell_angle_gamma 90.04
loop_
_atom_site_label
_atom_site_fract_x
_atom_site_fract_y
_atom_site_fract_z
Tb1 0.220 0.000 0.165
Tb2 0.277 0.248 0.831
Tb3 0.723 0.752 0.169
Tb4 0.780 0.000 0.835
Pr1 0.000 0.000 0.500
Pr2 0.221 0.500 0.166
Pr3 0.280 0.751 0.834
Pr4 0.499 0.249 0.502
Pr5 0.501 0.751 0.498
Pr6 0.720 0.249 0.166
Pr7 0.779 0.500 0.834
Tm1 0.000 0.500 0.500
```

***

Computed, not measured: a relaxed structure of Tb3Pr8Tm at the PBE level of DFT.

## Properties
Total magnetization in μB per cell: 0.000

CIF file:
```
data_Tb3Pr8Tm
_chemical_formula_sum 'Tb3 Pr8 Tm1'
_space_group_name_H-M_alt 'P 1'
_space_group_IT_number 1
_space_group_name_Hall 'P 1'
_cell_length_a 7.023
_cell_length_b 7.023
_cell_length_c 9.920
_cell_angle_alpha 97.12
_cell_angle_beta 97.12
_cell_angle_gamma 119.05
loop_
_atom_site_label
_atom_site_fract_x
_atom_site_fract_y
_atom_site_fract_z
Tb1 0.000 0.000 0.000
Tb2 0.000 0.500 0.500
Tb3 0.500 0.000 0.500
Pr1 0.182 0.182 0.669
Pr2 0.183 0.677 0.165
Pr3 0.317 0.317 0.337
Pr4 0.323 0.817 0.835
Pr5 0.677 0.183 0.165
Pr6 0.683 0.683 0.663
Pr7 0.817 0.323 0.835
Pr8 0.818 0.818 0.331
Tm1 0.500 0.500 0.000
```

***

Computed, not measured: a relaxed structure of TbPr9Tm2 at the PBE level of DFT.

## Properties
Total magnetization in μB per cell: 0.000

CIF file:
```
data_TbPr9Tm2
_chemical_formula_sum 'Tb1 Pr9 Tm2'
_space_group_name_H-M_alt 'P 1'
_space_group_IT_number 1
_space_group_name_Hall 'P 1'
_cell_length_a 5.176
_cell_length_b 5.176
_cell_length_c 15.540
_cell_angle_alpha 90.00
_cell_angle_beta 90.00
_cell_angle_gamma 90.00
loop_
_atom_site_label
_atom_site_fract_x
_atom_site_fract_y
_atom_site_fract_z
Tb1 0.000 0.000 0.000
Pr1 0.000 0.500 0.168
Pr2 0.000 0.500 0.500
Pr3 0.000 0.500 0.832
Pr4 0.500 0.000 0.168
Pr5 0.500 0.000 0.500
Pr6 0.500 0.000 0.832
Pr7 0.500 0.500 0.000
Pr8 0.500 0.500 0.334
Pr9 0.500 0.500 0.666
Tm1 0.000 0.000 0.334
Tm2 0.000 0.000 0.666
```

***

Computed, not measured: a relaxed structure of Tb7Pr12Tm at the PBE level of DFT.

## Properties
Total magnetization in μB per cell: 0.001
Offset from the most stable computed form in eV per atom: 0.0102

CIF file:
```
data_Tb7Pr12Tm
_chemical_formula_sum 'Tb7 Pr12 Tm1'
_space_group_name_H-M_alt 'P 1'
_space_group_IT_number 1
_space_group_name_Hall 'P 1'
_cell_length_a 8.883
_cell_length_b 8.883
_cell_length_c 8.883
_cell_angle_alpha 88.43
_cell_angle_beta 88.43
_cell_angle_gamma 88.43
loop_
_atom_site_label
_atom_site_fract_x
_atom_site_fract_y
_atom_site_fract_z
Tb1 0.000 0.000 0.000
Tb2 0.114 0.433 0.355
Tb3 0.355 0.114 0.433
Tb4 0.433 0.355 0.114
Tb5 0.567 0.645 0.886
Tb6 0.645 0.886 0.567
Tb7 0.886 0.567 0.645
Pr1 0.012 0.889 0.359
Pr2 0.111 0.641 0.988
Pr3 0.226 0.354 0.758
Pr4 0.242 0.774 0.646
Pr5 0.354 0.758 0.226
Pr6 0.359 0.012 0.889
Pr7 0.641 0.988 0.111
Pr8 0.646 0.242 0.774
Pr9 0.758 0.226 0.354
Pr10 0.774 0.646 0.242
Pr11 0.889 0.359 0.012
Pr12 0.988 0.111 0.641
Tm1 0.500 0.500 0.500
```

***

In the order shown, the computed formation energy from the elements values come out to 0.0121; 0.1082; 0.0140; 0.2236 eV/atom.